The following is a GGA-PBE calculation of a relaxed NbBi crystal, from Alexandria via LeMat-Bulk.

Cell lengths 4.933, 4.933, 5.711 Å; angles 90.00, 90.00, 120.00 degrees
Fractional positions:
Nb: 0.333 0.667 0.250
Nb: 0.667 0.333 0.750
Bi: 0.333 0.667 0.750
Bi: 0.667 0.333 0.250

Space group = P6_3/mmc, No. 194
Volume = 30.09 Å³ per atom
VASP energy = -0.2241 Ha/atom
DFT formation energy = 0.878 eV/atom

***

The following is a GGA-PBE calculation of a relaxed NbBi crystal, from Alexandria via LeMat-Bulk.

Cell lengths 7.102, 6.786, 5.939 Å; angles 67.47, 61.96, 50.57 degrees
Fractional positions:
Nb: 0.041 0.709 0.709
Nb: 0.291 0.959 0.959
Nb: 0.709 0.041 0.041
Nb: 0.959 0.291 0.291
Bi: 0.177 0.573 0.177
Bi: 0.427 0.823 0.427
Bi: 0.573 0.177 0.573
Bi: 0.823 0.427 0.823

Space group = Fddd, No. 70
Volume = 24.20 Å³ per atom
VASP energy = -0.2432 Ha/atom
DFT formation energy = 0.358 eV/atom